Here is a relaxed Zr2TlSi2 crystal from Alexandria. Energies are from PBE.

Properties
Formation energy without anion corrections in meV per atom: -348
Magnetization in μB/cell: 0.00
Energy in eV/cell: -64.10

Cell lengths 7.1700, 7.1700, 3.7563 Å; angles 90.00, 90.00, 90.00 degrees
Element x y z (fractional)
Zr 0.1772 0.3228 0.0000
Zr 0.3228 0.8228 0.0000
Zr 0.6772 0.1772 0.0000
Zr 0.8228 0.6772 0.0000
Tl 0.0000 0.0000 0.5000
Tl 0.5000 0.5000 0.5000
Si 0.1165 0.6165 0.5000
Si 0.3835 0.1165 0.5000
Si 0.6165 0.8835 0.5000
Si 0.8835 0.3835 0.5000

---

Here is a relaxed Cs5TlI6 crystal from Alexandria. Energies are from PBE.

Properties
Formation energy without anion corrections in meV per atom: -1398
Magnetization in μB/cell: 0.00
Energy in eV/cell: -32.71

Cell lengths 9.4599, 9.4599, 9.4481 Å; angles 99.62, 99.62, 119.99 degrees
Element x y z (fractional)
Cs 0.0000 0.0000 0.0000
Cs 0.1662 0.8338 0.5000
Cs 0.3312 0.6688 0.0000
Cs 0.6688 0.3312 0.0000
Cs 0.8338 0.1662 0.5000
Tl 0.5000 0.5000 0.5000
I 0.1027 0.4199 0.2595
I 0.2643 0.2643 0.7401
I 0.4199 0.1027 0.2595
I 0.5801 0.8973 0.7405
I 0.7357 0.7357 0.2599
I 0.8973 0.5801 0.7405

---

Here is a relaxed Cu2Tc3 crystal from Alexandria. Energies are from PBE.

Properties
Energy relative to the elements in kJ/mol of atoms: 75.1
Magnetization in μB/cell: 1.90
Energy in eV/cell: -35.40

Cell lengths 4.0902, 4.0902, 5.1403 Å; angles 90.00, 90.00, 120.00 degrees
Element x y z (fractional)
Cu 0.3333 0.6667 0.3722
Cu 0.6667 0.3333 0.6278
Tc 0.0000 0.0000 0.5000
Tc 0.3333 0.6667 0.8917
Tc 0.6667 0.3333 0.1083

---

Here is a relaxed InCu4Os crystal from Alexandria. Energies are from PBE.

Properties
Energy relative to the elements in kJ/mol of atoms: 27.7
Magnetization in μB/cell: 0.00
Energy in eV/cell: -28.63

Cell lengths 4.8707, 4.8707, 4.8707 Å; angles 60.00, 60.00, 60.00 degrees
Element x y z (fractional)
In 0.0000 0.0000 0.0000
Cu 0.3756 0.3756 0.3756
Cu 0.3756 0.3756 0.8731
Cu 0.3756 0.8731 0.3756
Cu 0.8731 0.3756 0.3756
Os 0.7500 0.7500 0.7500

---

Here is a relaxed La2PmErS4 crystal from Alexandria. Energies are from PBE.

Properties
Formation energy without anion corrections in meV per atom: -2081
Magnetization in μB/cell: 0.00
Energy in eV/cell: -52.33

Cell lengths 7.0106, 4.0105, 7.0816 Å; angles 90.00, 108.99, 90.00 degrees
Element x y z (fractional)
La 0.0000 0.0000 0.0000
La 0.5000 0.5000 0.0000
Pm 0.0000 0.5000 0.5000
Er 0.5000 0.0000 0.5000
S 0.2531 0.0000 0.7358
S 0.2645 0.5000 0.2698
S 0.7355 0.5000 0.7302
S 0.7469 0.0000 0.2642

---

Here is a relaxed LaMg2Si crystal from Alexandria. Energies are from PBE.

Properties
Formation energy without anion corrections in meV per atom: -215
Magnetization in μB/cell: 0.00
Energy in eV/cell: -14.40

Cell lengths 4.5524, 4.5524, 6.1739 Å; angles 111.66, 111.66, 60.05 degrees
Element x y z (fractional)
La 0.0000 0.0000 0.0000
Mg 0.5269 0.5269 0.5814
Mg 0.7877 0.7877 0.3630
Si 0.2169 0.2169 0.6516

---

Here is a relaxed AgP2 crystal from Alexandria. Energies are from PBE.

Properties
Energy relative to the elements in kJ/mol of atoms: 30.4
Magnetization in μB/cell: 0.00
Energy in eV/cell: -25.45

Cell lengths 9.3898, 9.3898, 3.2322 Å; angles 90.00, 90.00, 158.34 degrees
Element x y z (fractional)
Ag 0.1185 0.8815 0.7500
Ag 0.8815 0.1185 0.2500
P 0.2568 0.7432 0.2500
P 0.4590 0.5410 0.7500
P 0.5410 0.4590 0.2500
P 0.7432 0.2568 0.7500

---

Here is a relaxed Mg2InW crystal from Alexandria. Energies are from PBE.

Properties
Energy relative to the elements in kJ/mol of atoms: 44.8
Magnetization in μB/cell: 0.00
Energy in eV/cell: -17.02

Cell lengths 3.0931, 4.9370, 5.0182 Å; angles 90.00, 90.00, 90.00 degrees
Element x y z (fractional)
Mg 0.0000 0.0000 0.0000
Mg 0.5000 0.5000 0.0000
In 0.0000 0.5000 0.5000
W 0.5000 0.0000 0.5000

---

Here is a relaxed NbS3Br crystal from Alexandria. Energies are from PBE.

Properties
Formation energy without anion corrections in meV per atom: -701
Magnetization in μB/cell: 0.00
Energy in eV/cell: -55.26

Cell lengths 3.4068, 8.3051, 10.2958 Å; angles 109.86, 90.30, 101.50 degrees
Element x y z (fractional)
Nb 0.1877 0.3775 0.3182
Nb 0.8123 0.6225 0.6818
S 0.2260 0.4427 0.7640
S 0.3342 0.6725 0.5214
S 0.3566 0.7067 0.8755
S 0.6434 0.2933 0.1245
S 0.6658 0.3275 0.4786
S 0.7740 0.5573 0.2360
Br 0.0138 0.0219 0.2328
Br 0.9862 0.9781 0.7672

---

Here is a relaxed YLuTh2 crystal from Alexandria. Energies are from PBE.

Properties
Energy relative to the elements in kJ/mol of atoms: 3.9
Magnetization in μB/cell: 0.00
Energy in eV/cell: -25.66

Cell lengths 5.0180, 5.0180, 5.0259 Å; angles 90.00, 90.00, 90.00 degrees
Element x y z (fractional)
Y 0.0000 0.0000 0.0000
Lu 0.5000 0.5000 0.0000
Th 0.0000 0.5000 0.5000
Th 0.5000 0.0000 0.5000

---

Here is a relaxed SmHoEr2 crystal from Alexandria. Energies are from PBE.

Properties
Energy relative to the elements in kJ/mol of atoms: 1.1
Magnetization in μB/cell: 0.02
Energy in eV/cell: -18.38

Cell lengths 6.6925, 6.6925, 6.6925 Å; angles 148.62, 65.31, 124.33 degrees
Element x y z (fractional)
Sm 0.0000 0.0000 0.0000
Ho 0.4975 0.9975 0.5000
Er 0.4167 0.6655 0.7512
Er 0.9143 0.6655 0.2488

---

Here is a relaxed Er4MgTe crystal from Alexandria. Energies are from PBE.

Properties
Formation energy without anion corrections in meV per atom: -255
Magnetization in μB/cell: 0.00
Energy in eV/cell: -49.04

Cell lengths 11.0072, 11.0072, 6.5416 Å; angles 90.00, 90.00, 151.04 degrees
Element x y z (fractional)
Er 0.0667 0.9333 0.7500
Er 0.2096 0.7904 0.5075
Er 0.2096 0.7904 0.9925
Er 0.3604 0.6396 0.7500
Er 0.6396 0.3604 0.2500
Er 0.7904 0.2096 0.0075
Er 0.7904 0.2096 0.4925
Er 0.9333 0.0667 0.2500
Mg 0.3452 0.6548 0.2500
Mg 0.6548 0.3452 0.7500
Te 0.0749 0.9251 0.2500
Te 0.9251 0.0749 0.7500

---

Here is a relaxed ZrRh2W crystal from Alexandria. Energies are from PBE.

Properties
Energy relative to the elements in kJ/mol of atoms: -11.4
Magnetization in μB/cell: 0.00
Energy in eV/cell: -36.68

Cell lengths 4.5486, 4.5486, 4.5486 Å; angles 60.00, 60.00, 60.00 degrees
Element x y z (fractional)
Zr 0.0000 0.0000 0.0000
Rh 0.2500 0.2500 0.2500
Rh 0.7500 0.7500 0.7500
W 0.5000 0.5000 0.5000

---

Here is a relaxed PmDyY2Ho5 crystal from Alexandria. Energies are from PBE.

Properties
Energy relative to the elements in kJ/mol of atoms: 15.0
Magnetization in μB/cell: 0.00
Energy in eV/cell: -87.54

Cell lengths 10.2537, 10.2537, 10.5773 Å; angles 90.00, 90.00, 148.25 degrees
Element x y z (fractional)
Pm 0.0838 0.9162 0.5000
Pm 0.9162 0.0838 0.0000
Dy 0.2987 0.7013 0.0567
Dy 0.7013 0.2987 0.5567
Y 0.3865 0.6135 0.3655
Y 0.3898 0.6102 0.7804
Y 0.6102 0.3898 0.2804
Y 0.6135 0.3865 0.8655
Ho 0.0211 0.9789 0.7828
Ho 0.1100 0.8900 0.0679
Ho 0.2015 0.7985 0.7537
Ho 0.2174 0.7826 0.3558
Ho 0.4809 0.5191 0.0710
Ho 0.5191 0.4809 0.5710
Ho 0.7826 0.2174 0.8558
Ho 0.7985 0.2015 0.2537
Ho 0.8900 0.1100 0.5679
Ho 0.9789 0.0211 0.2828

---

Here is a relaxed Nb2ZnRe2 crystal from Alexandria. Energies are from PBE.

Properties
Energy relative to the elements in kJ/mol of atoms: 28.8
Magnetization in μB/cell: 0.00
Energy in eV/cell: -89.63

Cell lengths 7.5172, 7.5172, 3.1106 Å; angles 90.00, 90.00, 90.00 degrees
Element x y z (fractional)
Nb 0.1563 0.3437 0.0000
Nb 0.3437 0.8437 0.0000
Nb 0.6563 0.1563 0.0000
Nb 0.8437 0.6563 0.0000
Zn 0.0000 0.0000 0.5000
Zn 0.5000 0.5000 0.5000
Re 0.1429 0.6429 0.5000
Re 0.3571 0.1429 0.5000
Re 0.6429 0.8571 0.5000
Re 0.8571 0.3571 0.5000

---

Here is a relaxed Tl2Re2B crystal from Alexandria. Energies are from PBE.

Properties
Energy relative to the elements in kJ/mol of atoms: 69.1
Magnetization in μB/cell: 0.00
Energy in eV/cell: -65.45

Cell lengths 5.9011, 5.9011, 4.9590 Å; angles 90.00, 90.00, 90.00 degrees
Element x y z (fractional)
Tl 0.1834 0.3166 0.0000
Tl 0.3166 0.8166 0.0000
Tl 0.6834 0.1834 0.0000
Tl 0.8166 0.6834 0.0000
Re 0.1521 0.6521 0.5000
Re 0.3479 0.1521 0.5000
Re 0.6521 0.8479 0.5000
Re 0.8479 0.3479 0.5000
B 0.0000 0.0000 0.5000
B 0.5000 0.5000 0.5000

---

Here is a relaxed SbTeCl2 crystal from Alexandria. Energies are from PBE.

Properties
Formation energy without anion corrections in meV per atom: -72
Magnetization in μB/cell: 0.40
Energy in eV/cell: -11.25

Cell lengths 11.2455, 11.2455, 11.2455 Å; angles 17.25, 17.25, 17.25 degrees
Element x y z (fractional)
Sb 0.0000 0.0000 0.0000
Te 0.5000 0.5000 0.5000
Cl 0.2692 0.2692 0.2692
Cl 0.7308 0.7308 0.7308

---

Here is a relaxed SrLi2ZnPd2 crystal from Alexandria. Energies are from PBE.

Properties
Energy relative to the elements in kJ/mol of atoms: -25.8
Magnetization in μB/cell: 0.00
Energy in eV/cell: -18.77

Cell lengths 4.8343, 4.8343, 5.8910 Å; angles 90.00, 90.00, 90.00 degrees
Element x y z (fractional)
Sr 0.0000 0.0000 0.0000
Li 0.5000 0.5000 0.2880
Li 0.5000 0.5000 0.7120
Zn 0.0000 0.0000 0.5000
Pd 0.0000 0.5000 0.5000
Pd 0.5000 0.0000 0.5000

---

Here is a relaxed Tb3Tm2Ga2 crystal from Alexandria. Energies are from PBE.

Properties
Energy relative to the elements in kJ/mol of atoms: -31.5
Magnetization in μB/cell: 0.00
Energy in eV/cell: -31.17

Cell lengths 6.8134, 6.8134, 8.7300 Å; angles 113.53, 113.53, 31.24 degrees
Element x y z (fractional)
Tb 0.0000 0.0000 0.0000
Tb 0.1121 0.1121 0.4367
Tb 0.8879 0.8879 0.5633
Tm 0.3557 0.3557 0.1893
Tm 0.6443 0.6443 0.8107
Ga 0.3120 0.3120 0.7848
Ga 0.6880 0.6880 0.2152

---

Here is a relaxed BaSiIr crystal from Alexandria. Energies are from PBE.

Properties
Formation energy without anion corrections in meV per atom: 1292
Magnetization in μB/cell: 0.00
Energy in eV/cell: -12.33

Cell lengths 4.9801, 4.9801, 4.9801 Å; angles 60.00, 60.00, 60.00 degrees
Element x y z (fractional)
Ba 0.0000 0.0000 0.0000
Si 0.2500 0.2500 0.2500
Ir 0.7500 0.7500 0.7500

---

Here is a relaxed Ac2SmErS6 crystal from Alexandria. Energies are from PBE.

Properties
Formation energy without anion corrections in meV per atom: -2100
Magnetization in μB/cell: 0.00
Energy in eV/cell: -63.26

Cell lengths 7.5094, 7.5094, 7.5094 Å; angles 58.10, 58.10, 58.10 degrees
Element x y z (fractional)
Ac 0.0000 0.0000 0.0000
Ac 0.4990 0.4990 0.4990
Sm 0.2143 0.2143 0.2143
Er 0.7126 0.7126 0.7126
S 0.0700 0.4324 0.8448
S 0.3503 0.9230 0.5789
S 0.4324 0.8448 0.0700
S 0.5789 0.3503 0.9230
S 0.8448 0.0700 0.4324
S 0.9230 0.5789 0.3503

---

Here is a relaxed Zn6Cu5Rh crystal from Alexandria. Energies are from PBE.

Properties
Energy relative to the elements in kJ/mol of atoms: -14.5
Magnetization in μB/cell: 0.00
Energy in eV/cell: -37.28

Cell lengths 6.0980, 6.0980, 7.1830 Å; angles 90.15, 90.15, 143.52 degrees
Element x y z (fractional)
Zn 0.1663 0.8344 0.2489
Zn 0.1656 0.8337 0.7511
Zn 0.4988 0.4988 0.2476
Zn 0.5012 0.5012 0.7524
Zn 0.8344 0.1663 0.2489
Zn 0.8337 0.1656 0.7511
Cu 0.0000 0.0000 0.0000
Cu 0.3293 0.6707 0.5000
Cu 0.3305 0.6695 0.0000
Cu 0.6695 0.3305 0.0000
Cu 0.6707 0.3293 0.5000
Rh 0.0000 0.0000 0.5000

---

Here is a relaxed Pm9Pr2Y crystal from Alexandria. Energies are from PBE.

Properties
Energy relative to the elements in kJ/mol of atoms: 1.5
Magnetization in μB/cell: 0.00
Energy in eV/cell: -58.59

Cell lengths 5.1677, 5.1677, 15.5049 Å; angles 90.00, 90.00, 90.00 degrees
Element x y z (fractional)
Pm 0.0000 0.0000 0.0000
Pm 0.0000 0.0000 0.3324
Pm 0.0000 0.0000 0.6676
Pm 0.0000 0.5000 0.1651
Pm 0.0000 0.5000 0.5000
Pm 0.0000 0.5000 0.8349
Pm 0.5000 0.0000 0.1651
Pm 0.5000 0.0000 0.5000
Pm 0.5000 0.0000 0.8349
Pr 0.5000 0.5000 0.3322
Pr 0.5000 0.5000 0.6678
Y 0.5000 0.5000 0.0000

---

Here is a relaxed Nd3DyN4 crystal from Alexandria. Energies are from PBE.

Properties
Formation energy without anion corrections in meV per atom: -1427
Magnetization in μB/cell: 0.00
Energy in eV/cell: -127.25

Cell lengths 6.2508, 7.2255, 6.2497 Å; angles 90.00, 109.44, 90.00 degrees
Element x y z (fractional)
Nd 0.0000 0.1243 0.2500
Nd 0.0000 0.3715 0.7500
Nd 0.0000 0.6285 0.2500
Nd 0.0000 0.8757 0.7500
Nd 0.5000 0.3719 0.2500
Nd 0.5000 0.6281 0.7500
Dy 0.5000 0.1250 0.7500
Dy 0.5000 0.8750 0.2500
N 0.2532 0.3659 0.5056
N 0.2532 0.6341 0.0056
N 0.2579 0.1243 0.9981
N 0.2579 0.8757 0.4981
N 0.7421 0.1243 0.5019
N 0.7421 0.8757 0.0019
N 0.7468 0.3659 0.9944
N 0.7468 0.6341 0.4944